Density functional theory data (GGA-PBE) for a geometry-optimized NaNbCoSe3 structure.

a b c (Å): 7.3277 7.3277 9.6119
angles (deg): 90.00 90.00 152.18
Last column: magnetic moment on the atom in μB.
Fractional coordinates of all 12 atoms:
Se: 0.8688 0.1312 0.5634  0.02
Se: 0.1312 0.8688 0.0634  0.02
Se: 0.1312 0.8688 0.4366  0.02
Se: 0.8688 0.1312 0.9366  0.02
Se: 0.5831 0.4169 0.7500  0.05
Se: 0.4169 0.5831 0.2500  0.05
Nb: 0.5000 0.5000 0.0000  -0.15
Nb: 0.5000 0.5000 0.5000  -0.16
Na: 0.2549 0.7451 0.7500  0.00
Na: 0.7451 0.2549 0.2500  0.00
Co: 0.9749 0.0251 0.7500  1.00
Co: 0.0251 0.9749 0.2500  1.00

SG: Cmcm (63)

=====

Density functional theory data (GGA-PBE) for a geometry-optimized YErInCo2 structure.

a b c (Å): 3.8936 7.1437 7.1437
angles (deg): 30.85 90.00 90.00
Last column: magnetic moment on the atom in μB.
Fractional coordinates of all 5 atoms:
Co: 0.0000 0.2049 0.2049  -0.86
Co: 0.0000 0.7922 0.7922  -0.86
In: 0.0000 0.0011 0.0011  0.03
Er: 0.5000 0.6405 0.6405  0.16
Y: 0.5000 0.3613 0.3613  0.10

SG: Amm2 (38)

=====

Density functional theory data (GGA-PBE) for a geometry-optimized Lu3BiP2 structure.

a b c (Å): 3.9782 3.9782 10.3975
angles (deg): 90.00 90.00 120.00
Fractional coordinates of all 6 atoms:
Lu: 0.6667 0.3333 0.2945
Lu: 0.0000 0.0000 0.0000
Lu: 0.3333 0.6667 0.7055
P: 0.3333 0.6667 0.1535
P: 0.6667 0.3333 0.8465
Bi: 0.0000 0.0000 0.5000

SG: P-3m1 (164)

=====

Density functional theory data (GGA-PBE) for a geometry-optimized Ta5Ga2Sn structure.

a b c (Å): 7.8101 7.8101 7.8101
angles (deg): 96.65 96.65 140.22
Fractional coordinates of all 16 atoms:
Sn: 0.2500 0.2500 0.0000
Sn: 0.7500 0.7500 0.0000
Ga: 0.1663 0.3337 0.5000
Ga: 0.6663 0.1663 0.8325
Ga: 0.3337 0.8337 0.1675
Ga: 0.8337 0.6663 0.5000
Ta: 0.2347 0.0773 0.3120
Ta: 0.2500 0.7500 0.5000
Ta: 0.7347 0.4227 0.1575
Ta: 0.7500 0.2500 0.5000
Ta: 0.7653 0.9227 0.6880
Ta: 0.9227 0.2347 0.1575
Ta: 0.5773 0.7347 0.3120
Ta: 0.2653 0.5773 0.8425
Ta: 0.0773 0.7653 0.8425
Ta: 0.4227 0.2653 0.6880

SG: I4/mcm (140)

=====

Density functional theory data (GGA-PBE) for a geometry-optimized BeFe2P structure.

a b c (Å): 3.7335 3.7335 3.7335
angles (deg): 60.00 60.00 60.00
Fractional coordinates of all 4 atoms:
Be: 0.0000 0.0000 0.0000
P: 0.5000 0.5000 0.5000
Fe: 0.2500 0.2500 0.2500
Fe: 0.7500 0.7500 0.7500

SG: Fm-3m (225)

=====

Density functional theory data (GGA-PBE) for a geometry-optimized TaTcSn structure.

a b c (Å): 4.4856 4.4856 4.4856
angles (deg): 60.00 60.00 60.00
Fractional coordinates of all 3 atoms:
Ta: 0.0000 0.0000 0.0000
Sn: 0.2500 0.2500 0.2500
Tc: 0.7500 0.7500 0.7500

SG: F-43m (216)

=====

Density functional theory data (GGA-PBE) for a geometry-optimized NaIrPb structure.

a b c (Å): 4.5704 4.5704 4.5704
angles (deg): 60.00 60.00 60.00
Fractional coordinates of all 3 atoms:
Na: 0.0000 0.0000 0.0000
Pb: 0.7500 0.7500 0.7500
Ir: 0.2500 0.2500 0.2500

SG: F-43m (216)

=====

Density functional theory data (GGA-PBE) for a geometry-optimized BeTePdO structure.

a b c (Å): 5.1387 5.1387 5.6357
angles (deg): 90.00 90.00 90.00
Fractional coordinates of all 8 atoms:
Pd: 0.2500 0.2500 0.3211
Pd: 0.7500 0.7500 0.6789
Be: 0.2500 0.2500 0.7137
Be: 0.7500 0.7500 0.2863
Te: 0.7500 0.2500 0.5000
Te: 0.2500 0.7500 0.5000
O: 0.2500 0.2500 0.9599
O: 0.7500 0.7500 0.0401

SG: P4/nmm (129)

=====

Record-wise energy values, in hartree per atom: -0.2040; -0.2185; -0.2214; -0.3214; -0.2532; -0.3008; -0.1378; -0.1733